Compound: AlFe2Sb
Source: Alexandria
Functional: PBEsol
Structure: relaxed

Structure (POSCAR):
```
AlFe2Sb
1.0
-1.865 2.606 -0.835
-3.251 -2.292 0.108
2.036 0.774 4.432
Fe Sb Al
2 1 1
Direct
0.740 0.240 0.481
0.011 0.011 0.022
0.490 0.490 0.979
0.259 0.759 0.518
```

## Properties
E above lowest polymorph (meV/atom): 126
Formation energy without anion corrections (eV per atom): 0.08
VASP energy (eV per atom): -6.560
Magnetic moment (μB/atom): 0.794

Compound: BaLa2BiMo
Source: Alexandria
Functional: PBEsol
Structure: relaxed

Structure (POSCAR):
```
BaLa2BiMo
1.0
-3.295 -3.038 3.618
0.871 -4.727 -3.175
4.869 -1.331 3.317
Ba Mo La Bi
1 1 2 1
Direct
0.000 0.000 0.000
0.500 0.500 0.500
0.000 0.500 0.000
0.500 0.000 0.000
0.000 0.000 0.500
```

## Properties
VASP energy (eV per atom): -4.072
Magnetic moment (μB/atom): 0.930
Formation energy (eV per atom): 1.707

Compound: SrTe2P
Source: Alexandria
Functional: PBEsol
Structure: relaxed

Structure (POSCAR):
```
SrTe2P
1.0
-0.994 3.717 -2.527
0.828 -2.418 -3.883
-5.976 -0.465 1.667
Te Sr P
2 1 1
Direct
0.000 0.919 0.903
0.500 0.684 0.342
0.500 0.347 0.768
0.000 0.550 0.487
```

## Properties
E above lowest polymorph (meV/atom): 0
Formation energy without anion corrections (eV per atom): -0.65
VASP energy (eV per atom): -4.321
Magnetic moment (μB/atom): 0.000

Copy entry 1 word for word.
Compound: AlFe2Sb
Source: Alexandria
Functional: PBEsol
Structure: relaxed

Structure (POSCAR):
```
AlFe2Sb
1.0
-1.865 2.606 -0.835
-3.251 -2.292 0.108
2.036 0.774 4.432
Fe Sb Al
2 1 1
Direct
0.740 0.240 0.481
0.011 0.011 0.022
0.490 0.490 0.979
0.259 0.759 0.518
```

## Properties
E above lowest polymorph (meV/atom): 126
Formation energy without anion corrections (eV per atom): 0.08
VASP energy (eV per atom): -6.560
Magnetic moment (μB/atom): 0.794